(1)
Below is crystalline Tl5Re3 at its relaxed geometry, with properties calculated at the PBE level.

```
data_Tl5Re3
_chemical_formula_sum 'Tl10 Re6'
_cell_length_a 8.2943
_cell_length_b 8.2947
_cell_length_c 5.6109
_cell_angle_alpha 90.00
_cell_angle_beta 90.00
_cell_angle_gamma 120.00
_space_group_name_H-M_alt 'P 1'
_space_group_IT_number 1
loop_
_space_group_symop_operation_xyz
'x,y,z'
loop_
_atom_site_label
_atom_site_type_symbol
_atom_site_fract_x
_atom_site_fract_y
_atom_site_fract_z
Re1 Re 0.5960 0.0000 0.2500
Re2 Re 0.4040 0.0000 0.7500
Re3 Re 0.0000 0.5961 0.2500
Re4 Re 0.4040 0.4040 0.2500
Re5 Re 0.5960 0.5960 0.7500
Re6 Re 0.0000 0.4039 0.7500
Tl1 Tl 0.3333 0.6667 0.0000
Tl2 Tl 0.6667 0.3333 0.5000
Tl3 Tl 0.6667 0.3333 0.0000
Tl4 Tl 0.3333 0.6667 0.5000
Tl5 Tl 0.2384 0.0000 0.2500
Tl6 Tl 0.7616 0.0000 0.7500
Tl7 Tl 0.0000 0.2385 0.2500
Tl8 Tl 0.7617 0.7617 0.2500
Tl9 Tl 0.2384 0.2383 0.7500
Tl10 Tl 0.0000 0.7615 0.7500
```

Properties
Distance to the lowest polymorph of the same formula: 444.3 meV/atom

***

(2)
Below is crystalline Ho4Tm3Bi8 at its relaxed geometry, with properties calculated at the PBE level.

```
data_Ho4Tm3Bi8
_chemical_formula_sum 'Ho4 Tm3 Bi8'
_cell_length_a 8.8555
_cell_length_b 8.8502
_cell_length_c 8.8502
_cell_angle_alpha 89.98
_cell_angle_beta 120.04
_cell_angle_gamma 120.04
_space_group_name_H-M_alt 'P 1'
_space_group_IT_number 1
loop_
_space_group_symop_operation_xyz
'x,y,z'
loop_
_atom_site_label
_atom_site_type_symbol
_atom_site_fract_x
_atom_site_fract_y
_atom_site_fract_z
Ho1 Ho 0.5000 0.0000 0.0000
Ho2 Ho 0.0000 0.5000 0.0000
Ho3 Ho 0.0000 0.0000 0.0000
Ho4 Ho 0.0000 0.0000 0.5000
Tm1 Tm 0.5000 0.5000 0.0000
Tm2 Tm 0.5000 0.0000 0.5000
Tm3 Tm 0.5000 0.5000 0.5000
Bi1 Bi 0.5111 0.2564 0.2564
Bi2 Bi 0.0000 0.7445 0.2555
Bi3 Bi 0.0016 0.2563 0.2563
Bi4 Bi 0.5000 0.7494 0.2506
Bi5 Bi 0.5000 0.2506 0.7494
Bi6 Bi 0.9984 0.7437 0.7437
Bi7 Bi 0.0000 0.2555 0.7445
Bi8 Bi 0.4889 0.7436 0.7436
```

Properties
Electronic total energy: -4.83 eV per atom

***

(3)
Below is crystalline YTm2GaC at its relaxed geometry, with properties calculated at the PBE level.

```
data_YTm2GaC
_chemical_formula_sum 'Y1 Tm2 Ga1 C1'
_cell_length_a 4.8609
_cell_length_b 4.7795
_cell_length_c 4.7795
_cell_angle_alpha 90.00
_cell_angle_beta 90.00
_cell_angle_gamma 90.00
_space_group_name_H-M_alt 'P 1'
_space_group_IT_number 1
loop_
_space_group_symop_operation_xyz
'x,y,z'
loop_
_atom_site_label
_atom_site_type_symbol
_atom_site_fract_x
_atom_site_fract_y
_atom_site_fract_z
Y1 Y 0.5000 0.0000 0.0000
Tm1 Tm 0.0000 0.0000 0.5000
Tm2 Tm 0.0000 0.5000 0.0000
Ga1 Ga 0.5000 0.5000 0.5000
C1 C 0.0000 0.0000 0.0000
```

Properties
Electronic total energy: -6.03 eV per atom

***

(4)
Below is crystalline TbScCdAu at its relaxed geometry, with properties calculated at the PBE level.

```
data_TbScCdAu
_chemical_formula_sum 'Tb1 Sc1 Cd1 Au1'
_cell_length_a 5.0629
_cell_length_b 5.0629
_cell_length_c 5.0629
_cell_angle_alpha 60.00
_cell_angle_beta 60.00
_cell_angle_gamma 60.00
_space_group_name_H-M_alt 'P 1'
_space_group_IT_number 1
loop_
_space_group_symop_operation_xyz
'x,y,z'
loop_
_atom_site_label
_atom_site_type_symbol
_atom_site_fract_x
_atom_site_fract_y
_atom_site_fract_z
Sc1 Sc 0.5000 0.5000 0.5000
Tb1 Tb 0.0000 0.0000 0.0000
Au1 Au 0.2500 0.2500 0.2500
Cd1 Cd 0.7500 0.7500 0.7500
```

Properties
Distance to the lowest polymorph of the same formula: 36.5 meV/atom

***

(5)
Below is crystalline InHCl4 at its relaxed geometry, with properties calculated at the PBE level.

```
data_InHCl4
_chemical_formula_sum 'In2 H2 Cl8'
_cell_length_a 6.6314
_cell_length_b 8.4708
_cell_length_c 9.3819
_cell_angle_alpha 101.45
_cell_angle_beta 91.73
_cell_angle_gamma 135.71
_space_group_name_H-M_alt 'P 1'
_space_group_IT_number 1
loop_
_space_group_symop_operation_xyz
'x,y,z'
loop_
_atom_site_label
_atom_site_type_symbol
_atom_site_fract_x
_atom_site_fract_y
_atom_site_fract_z
In1 In 0.8029 0.0529 0.1059
In2 In 0.1971 0.9471 0.8941
H1 H 0.3983 0.6483 0.2967
H2 H 0.6017 0.3517 0.7033
Cl1 Cl 0.4772 0.1062 0.6904
Cl2 Cl 0.9097 0.8170 0.1008
Cl3 Cl 0.2868 0.4158 0.3096
Cl4 Cl 0.3090 0.7162 0.8992
Cl5 Cl 0.5228 0.8938 0.3096
Cl6 Cl 0.7132 0.5842 0.6904
Cl7 Cl 0.0903 0.1830 0.8992
Cl8 Cl 0.6910 0.2838 0.1008
```

Properties
Electronic total energy: -3.12 eV per atom

***

(6)
Below is crystalline BaSiMo2 at its relaxed geometry, with properties calculated at the PBE level.

```
data_BaSiMo2
_chemical_formula_sum 'Ba1 Si1 Mo2'
_cell_length_a 3.1774
_cell_length_b 5.4833
_cell_length_c 4.5351
_cell_angle_alpha 90.00
_cell_angle_beta 90.00
_cell_angle_gamma 90.00
_space_group_name_H-M_alt 'P 1'
_space_group_IT_number 1
loop_
_space_group_symop_operation_xyz
'x,y,z'
loop_
_atom_site_label
_atom_site_type_symbol
_atom_site_fract_x
_atom_site_fract_y
_atom_site_fract_z
Ba1 Ba 0.0000 0.5000 0.5000
Mo1 Mo 0.0000 0.0000 0.0000
Mo2 Mo 0.5000 0.5000 0.0000
Si1 Si 0.5000 0.0000 0.5000
```

Properties
ΔE_f (raw): 1.185 eV per atom

***

(7)
Below is crystalline Ho3VFe8 at its relaxed geometry, with properties calculated at the PBE level.

```
data_Ho3VFe8
_chemical_formula_sum 'Ho3 V1 Fe8'
_cell_length_a 5.0342
_cell_length_b 5.0342
_cell_length_c 8.7290
_cell_angle_alpha 73.24
_cell_angle_beta 73.24
_cell_angle_gamma 60.00
_space_group_name_H-M_alt 'P 1'
_space_group_IT_number 1
loop_
_space_group_symop_operation_xyz
'x,y,z'
loop_
_atom_site_label
_atom_site_type_symbol
_atom_site_fract_x
_atom_site_fract_y
_atom_site_fract_z
Ho1 Ho 0.3754 0.3754 0.8737
Ho2 Ho 0.9972 0.9972 0.0085
Ho3 Ho 0.5022 0.5022 0.4935
V1 V 0.8739 0.8739 0.3784
Fe1 Fe 0.9351 0.4352 0.1946
Fe2 Fe 0.4429 0.9388 0.6796
Fe3 Fe 0.4352 0.4352 0.1946
Fe4 Fe 0.9388 0.9388 0.6796
Fe5 Fe 0.1879 0.1879 0.4362
Fe6 Fe 0.6876 0.6876 0.9373
Fe7 Fe 0.4352 0.9351 0.1946
Fe8 Fe 0.9388 0.4429 0.6796
```

Properties
Electronic total energy: -7.62 eV per atom

***

(8)
Below is crystalline AgGeBiO4 at its relaxed geometry, with properties calculated at the PBE level.

```
data_AgGeBiO4
_chemical_formula_sum 'Ag2 Ge2 Bi2 O8'
_cell_length_a 6.1382
_cell_length_b 6.1382
_cell_length_c 7.3444
_cell_angle_alpha 90.00
_cell_angle_beta 90.00
_cell_angle_gamma 123.99
_space_group_name_H-M_alt 'P 1'
_space_group_IT_number 1
loop_
_space_group_symop_operation_xyz
'x,y,z'
loop_
_atom_site_label
_atom_site_type_symbol
_atom_site_fract_x
_atom_site_fract_y
_atom_site_fract_z
Ag1 Ag 0.5000 0.5000 0.5000
Ag2 Ag 0.5000 0.5000 0.0000
Ge1 Ge 0.0935 0.9065 0.2500
Ge2 Ge 0.9065 0.0935 0.7500
Bi1 Bi 0.8138 0.1862 0.2500
Bi2 Bi 0.1862 0.8138 0.7500
O1 O 0.2543 0.2075 0.7500
O2 O 0.7925 0.7457 0.7500
O3 O 0.8107 0.1893 0.9400
O4 O 0.8107 0.1893 0.5600
O5 O 0.1893 0.8107 0.0600
O6 O 0.1893 0.8107 0.4400
O7 O 0.7457 0.7925 0.2500
O8 O 0.2075 0.2543 0.2500
```

Properties
ΔE_f (raw): -1.077 eV per atom

***

Number 1: ρ 15.70 g/cm³, magnetization 0.88 μB per formula unit. Number 2: ρ 9.62 g/cm³, magnetization 0.00 μB per formula unit. Number 3: ρ 7.60 g/cm³, magnetization 0.00 μB per formula unit. Number 4: ρ 9.29 g/cm³, magnetization 0.00 μB per formula unit. Number 5: ρ 2.45 g/cm³, magnetization 0.00 μB per formula unit. Number 6: ρ 7.51 g/cm³, magnetization 0.03 μB per formula unit. Number 7: ρ 9.12 g/cm³, magnetization 12.66 μB per formula unit. Number 8: ρ 6.56 g/cm³, magnetization 0.00 μB per formula unit.